Crystalline LiNiP2O7 at its relaxed geometry. Source: Alexandria via LeMat-Bulk, functional GGA+U.

For the offset from the most stable computed form, the calculation gives 0.589 eV/f.u. The total energy comes out at -140.672 eV for the cell shown. As for the calculated volume: 12.6 Å³ per atom.

It has space group P2_1 (No. 4), with a = 4.9515 Å, b = 8.4362 Å, c = 6.9449 Å, α = 90.00°, β = 107.06° and γ = 90.00°. The distinct sites, in fractional coordinates, are Li at (0.1540, 0.0000, 0.1926), Ni at (0.1882, 0.3530, 0.1834), P at (0.1896, 0.2967, 0.5545), P at (0.4047, 0.6907, 0.0490), O at (0.0387, 0.8397, 0.3561), O at (0.1069, 0.1898, 0.3622), O at (0.2100, 0.8357, 0.9958), O at (0.2386, 0.5344, 0.0252), O at (0.3131, 0.4388, 0.4623), O at (0.3747, 0.1852, 0.0655) and O at (0.4384, 0.2022, 0.7117).